Record 1
The following is a DFT calculation (GGA-PBE) of a geometry-optimized MgRu2Br structure.

Calculated values
**Energy above the lowest structure with this stoichiometry**: 0.4792 eV per atom
**E_form (uncorrected)**: 0.594 eV per atom
**Magnetization**: 0.00 μB/cell
**Space-group type**: P4/mmm, No. 123

Cell: 4.441 4.441 3.138 Å, 90.00 90.00 90.00°
Element x y z (fractional)
Ru1 0.500 0.500 0.000
Ru2 0.000 0.000 0.000
Mg1 0.000 0.500 0.500
Br1 0.500 0.000 0.500

Record 2
The following is a DFT calculation (GGA-PBE) of a geometry-optimized TbS4 structure.

Calculated values
**Energy above the lowest structure with this stoichiometry**: 0.0000 eV per atom
**E_form (uncorrected)**: -0.384 eV per atom
**Magnetization**: 0.00 μB/cell
**Space-group type**: I4/m, No. 87

Cell: 4.548 5.473 5.473 Å, 80.06 65.45 65.45°
Element x y z (fractional)
Tb1 0.000 0.000 0.000
S1 0.498 0.240 0.764
S2 0.502 0.760 0.236
S3 0.738 0.764 0.760
S4 0.262 0.236 0.240

Record 3
The following is a DFT calculation (GGA-PBE) of a geometry-optimized CaSc2GeC structure.

Calculated values
**Energy of formation**: -0.512 eV per atom
**Magnetization**: 0.00 μB/cell
**Space-group type**: P4/mmm, No. 123

Cell: 4.507 4.507 4.798 Å, 90.00 90.00 90.00°
Element x y z (fractional)
Ca1 0.000 0.000 0.500
C1 0.000 0.000 0.000
Sc1 0.500 0.000 0.000
Sc2 0.000 0.500 0.000
Ge1 0.500 0.500 0.500